# 1
VASP calculation (PBE) on a geometry-optimized TaAs2RhSe structure.

Output
The offset from the most stable computed form comes out at 178 meV/atom. The value obtained for the total energy is -27.7 eV/cell. The calculation puts the magnetization at 0.0 Bohr magnetons per cell. Its space group is No. 123. The density of states at the Fermi level comes out at 6.43 states/eV/cell. The uncorrected formation energy comes out at 865 meV/atom.

Lattice parameters (Å, degrees): 4.6741 4.6741 4.8819 90.00 90.00 90.00
Closest atoms and distances in Å follow each position.
Positions (direct):
As (0.5000, 0.0000, 0.0000)  2 Rh 2.34
As (0.0000, 0.5000, 0.0000)  2 Rh 2.34
Ta (0.5000, 0.5000, 0.5000)  4 Se 3.31, 8 As 3.38
Se (0.0000, 0.0000, 0.5000)  2 Rh 2.44
Rh (0.0000, 0.0000, 0.0000)  4 As 2.34, 2 Se 2.44

***

# 2
VASP calculation (PBE) on a geometry-optimized TcAs2RhSe structure.

Output
The offset from the most stable computed form comes out at 0 meV/atom. The value obtained for the total energy is -26.5 eV/cell. The calculation puts the magnetization at 0.0 Bohr magnetons per cell. Its space group is No. 123. The density of states at the Fermi level comes out at 3.60 states/eV/cell. The uncorrected formation energy comes out at 793 meV/atom.

Lattice parameters (Å, degrees): 4.7213 4.7213 4.8527 90.00 90.00 90.00
Closest atoms and distances in Å follow each position.
Positions (direct):
Rh (0.5000, 0.5000, 0.5000)  4 Se 3.34, 8 As 3.39
Tc (0.0000, 0.0000, 0.0000)  4 As 2.36, 2 Se 2.43
As (0.5000, 0.0000, 0.0000)  2 Tc 2.36
As (0.0000, 0.5000, 0.0000)  2 Tc 2.36
Se (0.0000, 0.0000, 0.5000)  2 Tc 2.43

***

# 3
VASP calculation (PBE) on a geometry-optimized Th4As2RhSe structure.

Output
The value obtained for the total energy is -60.1 eV/cell. The calculation puts the magnetization at 0.0 Bohr magnetons per cell. Its space group is No. 10. The density of states at the Fermi level comes out at 5.31 states/eV/cell. The uncorrected formation energy comes out at -1283 meV/atom.

Lattice parameters (Å, degrees): 4.1330 7.4166 7.3829 70.65 90.00 90.00
Closest atoms and distances in Å follow each position.
Positions (direct):
Se (0.5000, 0.5000, 0.0000)  6 Th 3.00-3.04
Th (0.5000, 0.2633, 0.7328)  2 Rh 2.88, 3 As 3.00-3.07, 1 Se 3.04
Th (0.0000, 0.7526, 0.7453)  3 As 2.95-3.03, 2 Se 3.00, 1 Rh 3.01
Th (0.5000, 0.7367, 0.2672)  2 Rh 2.88, 3 As 3.00-3.07, 1 Se 3.04
Th (0.0000, 0.2474, 0.2547)  3 As 2.95-3.03, 2 Se 3.00, 1 Rh 3.01
Rh (0.0000, 0.5000, 0.5000)  6 Th 2.88-3.01
As (0.5000, 0.0000, 0.5000)  6 Th 2.95-3.00
As (0.0000, 0.0000, 0.0000)  6 Th 3.03-3.07

***

# 4
VASP calculation (PBE) on a geometry-optimized Th6As2RhSe3 structure.

Output
The value obtained for the total energy is -88.2 eV/cell. The calculation puts the magnetization at 0.0 Bohr magnetons per cell. Its space group is No. 12. The density of states at the Fermi level comes out at 10.61 states/eV/cell. The uncorrected formation energy comes out at -1384 meV/atom.

Lattice parameters (Å, degrees): 4.1533 8.6054 9.4684 102.59 102.67 90.00
Closest atoms and distances in Å follow each position.
Positions (direct):
Rh (0.5000, 0.0000, 0.0000)  6 Th 2.86-2.95
Se (0.8321, 0.1671, 0.6642)  6 Th 3.01-3.04
Se (0.5000, 0.5000, 0.0000)  6 Th 3.03-3.13
Se (0.1679, 0.8329, 0.3358)  6 Th 3.01-3.04
Th (0.3365, 0.9148, 0.6729)  1 Rh 2.95, 2 As 2.98, 3 Se 3.02-3.04
Th (0.3317, 0.4193, 0.6634)  3 As 2.96-2.98, 3 Se 3.01-3.03
Th (0.0009, 0.2287, 0.0017)  2 Rh 2.86, 1 As 2.99, 3 Se 3.04-3.13
Th (0.6635, 0.0852, 0.3271)  1 Rh 2.95, 2 As 2.98, 3 Se 3.02-3.04
Th (0.6683, 0.5807, 0.3366)  3 As 2.96-2.98, 3 Se 3.01-3.03
Th (0.9991, 0.7713, 0.9983)  2 Rh 2.86, 1 As 2.99, 3 Se 3.04-3.13
As (0.8335, 0.6657, 0.6671)  6 Th 2.96-2.99
As (0.1665, 0.3343, 0.3329)  6 Th 2.96-2.99

***

# 5
VASP calculation (PBE) on a geometry-optimized ThAsRhSe structure.

Output
The value obtained for the total energy is -54.3 eV/cell. The calculation puts the magnetization at 0.0 Bohr magnetons per cell. Its space group is No. 129. The density of states at the Fermi level comes out at 6.58 states/eV/cell. The uncorrected formation energy comes out at -1063 meV/atom.

Lattice parameters (Å, degrees): 4.2053 4.2053 9.3583 90.00 90.00 90.00
Closest atoms and distances in Å follow each position.
Positions (direct):
Rh (0.0000, 0.0000, 0.0000)  4 As 2.59
Rh (0.5000, 0.5000, 0.0000)  4 As 2.59
Se (0.5000, 0.5000, 0.5000)  4 Se 2.97, 4 Th 3.06
Se (0.0000, 0.0000, 0.5000)  4 Se 2.97, 4 Th 3.06
Th (0.5000, 0.0000, 0.7379)  4 Se 3.06, 4 As 3.12, 4 Rh 3.23
Th (0.0000, 0.5000, 0.2621)  4 Se 3.06, 4 As 3.12, 4 Rh 3.23
As (0.0000, 0.5000, 0.8387)  4 Rh 2.59
As (0.5000, 0.0000, 0.1613)  4 Rh 2.59

***

# 6
VASP calculation (PBE) on a geometry-optimized TlAsRhSe2 structure.

Output
The offset from the most stable computed form comes out at 0 meV/atom. The value obtained for the total energy is -20.6 eV/cell. The calculation puts the magnetization at 0.0 Bohr magnetons per cell. Its space group is No. 123. The density of states at the Fermi level comes out at 6.17 states/eV/cell. The uncorrected formation energy comes out at 142 meV/atom.

Lattice parameters (Å, degrees): 5.2200 5.2200 4.5883 90.00 90.00 90.00
Closest atoms and distances in Å follow each position.
Positions (direct):
Tl (0.5000, 0.5000, 0.5000)  8 Se 3.47, 4 As 3.69
As (0.0000, 0.0000, 0.5000)  2 Rh 2.29
Rh (0.0000, 0.0000, 0.0000)  2 As 2.29
Se (0.5000, 0.0000, 0.0000)  2 Rh 2.61
Se (0.0000, 0.5000, 0.0000)  2 Rh 2.61

***

# 7
VASP calculation (PBE) on a geometry-optimized TlAsRhSe2 structure.

Output
The offset from the most stable computed form comes out at 1241 meV/atom. The value obtained for the total energy is -14.4 eV/cell. The calculation puts the magnetization at 1.2 Bohr magnetons per cell. Its space group is No. 123. The density of states at the Fermi level comes out at 7.97 states/eV/cell. The uncorrected formation energy comes out at 1383 meV/atom.

Lattice parameters (Å, degrees): 5.3216 5.3216 5.2455 90.00 90.00 90.00
Closest atoms and distances in Å follow each position.
Positions (direct):
Rh (0.5000, 0.5000, 0.5000)  8 Se 3.74, 4 As 3.76
As (0.0000, 0.0000, 0.5000)  2 Tl 2.62
Tl (0.0000, 0.0000, 0.0000)  2 As 2.62, 4 Se 2.66
Se (0.5000, 0.0000, 0.0000)  2 Tl 2.66
Se (0.0000, 0.5000, 0.0000)  2 Tl 2.66

***

# 8
VASP calculation (PBE) on a geometry-optimized TlAs2RhSe structure.

Output
The offset from the most stable computed form comes out at 0 meV/atom. The value obtained for the total energy is -21.4 eV/cell. The calculation puts the magnetization at 0.0 Bohr magnetons per cell. Its space group is No. 123. The density of states at the Fermi level comes out at 5.08 states/eV/cell. The uncorrected formation energy comes out at 217 meV/atom.

Lattice parameters (Å, degrees): 4.7399 4.7399 5.5328 90.00 90.00 90.00
Closest atoms and distances in Å follow each position.
Positions (direct):
Se (0.0000, 0.0000, 0.5000)  2 Rh 2.77
As (0.0000, 0.5000, 0.0000)  2 Rh 2.37
As (0.5000, 0.0000, 0.0000)  2 Rh 2.37
Tl (0.5000, 0.5000, 0.5000)  4 Se 3.35, 8 As 3.64
Rh (0.0000, 0.0000, 0.0000)  4 As 2.37

***

# 9
VASP calculation (PBE) on a geometry-optimized Tm6AsRh2Se3 structure.

Output
The value obtained for the total energy is -72.8 eV/cell. The calculation puts the magnetization at 0.0 Bohr magnetons per cell. Its space group is No. 12. The density of states at the Fermi level comes out at 6.27 states/eV/cell. The uncorrected formation energy comes out at -1350 meV/atom.

Lattice parameters (Å, degrees): 6.8952 6.8952 7.2372 99.23 99.23 120.14
Closest atoms and distances in Å follow each position.
Positions (direct):
Tm (0.7321, 0.7321, 0.2306)  2 Rh 2.75, 1 As 2.86, 3 Se 2.89-2.94
Tm (0.2679, 0.2679, 0.7694)  2 Rh 2.75, 1 As 2.86, 3 Se 2.89-2.94
Tm (0.0750, 0.4214, 0.2290)  2 Rh 2.74-2.76, 1 As 2.85, 3 Se 2.92-2.99
Tm (0.9250, 0.5786, 0.7710)  2 Rh 2.74-2.76, 1 As 2.85, 3 Se 2.92-2.99
Tm (0.4214, 0.0750, 0.2290)  2 Rh 2.74-2.76, 1 As 2.85, 3 Se 2.92-2.99
Tm (0.5786, 0.9250, 0.7710)  2 Rh 2.74-2.76, 1 As 2.85, 3 Se 2.92-2.99
Se (0.1621, 0.8379, 0.5000)  6 Tm 2.92-2.99
Se (0.8379, 0.1621, 0.5000)  6 Tm 2.92-2.99
Se (0.5000, 0.5000, 0.5000)  6 Tm 2.89-2.99
Rh (0.3334, 0.6666, 0.0000)  6 Tm 2.74-2.76
Rh (0.6666, 0.3334, 0.0000)  6 Tm 2.74-2.76
As (0.0000, 0.0000, 0.0000)  6 Tm 2.85-2.86

***

# 10
VASP calculation (PBE) on a geometry-optimized VAs2RhSe structure.

Output
The offset from the most stable computed form comes out at 0 meV/atom. The value obtained for the total energy is -26.7 eV/cell. The calculation puts the magnetization at 0.0 Bohr magnetons per cell. Its space group is No. 123. The density of states at the Fermi level comes out at 3.89 states/eV/cell. The uncorrected formation energy comes out at 507 meV/atom.

Lattice parameters (Å, degrees): 4.6734 4.6734 4.6633 90.00 90.00 90.00
Closest atoms and distances in Å follow each position.
Positions (direct):
V (0.0000, 0.0000, 0.0000)  2 Se 2.33, 4 As 2.34
As (0.5000, 0.0000, 0.0000)  2 V 2.34
As (0.0000, 0.5000, 0.0000)  2 V 2.34
Rh (0.5000, 0.5000, 0.5000)  8 As 3.30, 4 Se 3.30
Se (0.0000, 0.0000, 0.5000)  2 V 2.33

***

# 11
VASP calculation (PBE) on a geometry-optimized VAs2RhSe structure.

Output
The offset from the most stable computed form comes out at 92 meV/atom. The value obtained for the total energy is -26.3 eV/cell. The calculation puts the magnetization at 3.2 Bohr magnetons per cell. Its space group is No. 123. The density of states at the Fermi level comes out at 4.63 states/eV/cell. The uncorrected formation energy comes out at 599 meV/atom.

Lattice parameters (Å, degrees): 4.6518 4.6518 5.2348 90.00 90.00 90.00
Closest atoms and distances in Å follow each position.
Positions (direct):
As (0.5000, 0.0000, 0.0000)  2 Rh 2.33
As (0.0000, 0.5000, 0.0000)  2 Rh 2.33
V (0.5000, 0.5000, 0.5000)  4 Se 3.29, 8 As 3.50
Se (0.0000, 0.0000, 0.5000)  2 Rh 2.62
Rh (0.0000, 0.0000, 0.0000)  4 As 2.33

***

# 12
VASP calculation (PBE) on a geometry-optimized AsRhWSe2 structure.

Output
The offset from the most stable computed form comes out at 370 meV/atom. The value obtained for the total energy is -25.8 eV/cell. The calculation puts the magnetization at 0.0 Bohr magnetons per cell. Its space group is No. 123. The density of states at the Fermi level comes out at 6.08 states/eV/cell. The uncorrected formation energy comes out at 1229 meV/atom.

Lattice parameters (Å, degrees): 4.7757 4.7757 4.6348 90.00 90.00 90.00
Closest atoms and distances in Å follow each position.
Positions (direct):
Se (0.5000, 0.0000, 0.0000)  2 Rh 2.39
Se (0.0000, 0.5000, 0.0000)  2 Rh 2.39
As (0.0000, 0.0000, 0.5000)  2 Rh 2.32
W (0.5000, 0.5000, 0.5000)  8 Se 3.33, 4 As 3.38
Rh (0.0000, 0.0000, 0.0000)  2 As 2.32, 4 Se 2.39

***

Copy entry 5 word for word.
VASP calculation (PBE) on a geometry-optimized ThAsRhSe structure.

Output
The value obtained for the total energy is -54.3 eV/cell. The calculation puts the magnetization at 0.0 Bohr magnetons per cell. Its space group is No. 129. The density of states at the Fermi level comes out at 6.58 states/eV/cell. The uncorrected formation energy comes out at -1063 meV/atom.

Lattice parameters (Å, degrees): 4.2053 4.2053 9.3583 90.00 90.00 90.00
Closest atoms and distances in Å follow each position.
Positions (direct):
Rh (0.0000, 0.0000, 0.0000)  4 As 2.59
Rh (0.5000, 0.5000, 0.0000)  4 As 2.59
Se (0.5000, 0.5000, 0.5000)  4 Se 2.97, 4 Th 3.06
Se (0.0000, 0.0000, 0.5000)  4 Se 2.97, 4 Th 3.06
Th (0.5000, 0.0000, 0.7379)  4 Se 3.06, 4 As 3.12, 4 Rh 3.23
Th (0.0000, 0.5000, 0.2621)  4 Se 3.06, 4 As 3.12, 4 Rh 3.23
As (0.0000, 0.5000, 0.8387)  4 Rh 2.59
As (0.5000, 0.0000, 0.1613)  4 Rh 2.59

***

Copy entry 5 word for word.
VASP calculation (PBE) on a geometry-optimized ThAsRhSe structure.

Output
The value obtained for the total energy is -54.3 eV/cell. The calculation puts the magnetization at 0.0 Bohr magnetons per cell. Its space group is No. 129. The density of states at the Fermi level comes out at 6.58 states/eV/cell. The uncorrected formation energy comes out at -1063 meV/atom.

Lattice parameters (Å, degrees): 4.2053 4.2053 9.3583 90.00 90.00 90.00
Closest atoms and distances in Å follow each position.
Positions (direct):
Rh (0.0000, 0.0000, 0.0000)  4 As 2.59
Rh (0.5000, 0.5000, 0.0000)  4 As 2.59
Se (0.5000, 0.5000, 0.5000)  4 Se 2.97, 4 Th 3.06
Se (0.0000, 0.0000, 0.5000)  4 Se 2.97, 4 Th 3.06
Th (0.5000, 0.0000, 0.7379)  4 Se 3.06, 4 As 3.12, 4 Rh 3.23
Th (0.0000, 0.5000, 0.2621)  4 Se 3.06, 4 As 3.12, 4 Rh 3.23
As (0.0000, 0.5000, 0.8387)  4 Rh 2.59
As (0.5000, 0.0000, 0.1613)  4 Rh 2.59

***

Question: magnetization of number 5 (ThAsRhSe)?
Answer: 0.0 Bohr magnetons per cell

***

Question: What is the formula in the third record?
Answer: Th4As2RhSe